Si2HIr2 | PBE | optimized geometry

Results
DOS at the Fermi energy: 0.89 states/eV/cell
crystal system: tetragonal
final energy: -6.287 eV per atom
symmetry: No. 139

Cell: 4.057 4.057 5.574 Å, 68.66 68.66 90.00°
Each line ends with the local moment (μB).
Fractional coordinates of all 5 atoms:
H  0.000  0.000  0.000  0.27
Si  0.377  0.377  0.246  0.00
Si  0.623  0.623  0.754  0.00
Ir  0.750  0.250  0.500  0.11
Ir  0.250  0.750  0.500  0.11